No. 1
The following is a DFT calculation (GGA-PBE) of a relaxed structure of CdTePtO.

For the total energy, the calculation gives -3.946 eV/atom.

Cell and atoms, written as CIF:
```
data_CdTePtO
_chemical_formula_sum 'Cd2 Te2 Pt2 O2'
_cell_length_a 4.056
_cell_length_b 4.056
_cell_length_c 8.872
_cell_angle_alpha 90.00
_cell_angle_beta 90.00
_cell_angle_gamma 90.00
_space_group_name_H-M_alt 'P 4/n m m'
_space_group_IT_number 129
loop_
_space_group_symop_operation_xyz
'x,y,z'
'-x,-y,-z'
'-y+1/2,x,z'
'y+1/2,-x,-z'
'-x+1/2,-y+1/2,z'
'x+1/2,y+1/2,-z'
'y,-x+1/2,z'
'-y,x+1/2,-z'
'x+1/2,-y,-z'
'-x+1/2,y,z'
'-y,-x,-z'
'y,x,z'
'-x,y+1/2,-z'
'x,-y+1/2,z'
'y+1/2,x+1/2,-z'
'-y+1/2,-x+1/2,z'
loop_
_atom_site_label
_atom_site_fract_x
_atom_site_fract_y
_atom_site_fract_z
Cd1 0.250 0.750 0.000
Te1 0.250 0.250 0.315
Pt1 0.250 0.250 0.769
O1 0.250 0.250 0.528
```

No. 2
The following is a DFT calculation (GGA-PBE) of a relaxed structure of NdGdAs2Os2O2.

For the total energy, the calculation gives -8.047 eV/atom.

Cell and atoms, written as CIF:
```
data_NdGdAs2Os2O2
_chemical_formula_sum 'Nd1 Gd1 As2 Os2 O2'
_cell_length_a 4.090
_cell_length_b 4.090
_cell_length_c 8.150
_cell_angle_alpha 90.00
_cell_angle_beta 90.00
_cell_angle_gamma 90.00
_space_group_name_H-M_alt 'P 4 m m'
_space_group_IT_number 99
_space_group_name_Hall 'P 4 -2'
loop_
_atom_site_label
_atom_site_fract_x
_atom_site_fract_y
_atom_site_fract_z
Nd1 0.000 0.000 0.000
Gd1 0.500 0.500 0.272
As1 0.000 0.000 0.468
As2 0.500 0.500 0.803
Os1 0.000 0.500 0.635
O1 0.000 0.500 0.143
```

No. 3
The following is a DFT calculation (GGA-PBE) of a relaxed structure of CdGeTe2.

For the total energy, the calculation gives -2.655 eV/atom.

Cell and atoms, written as CIF:
```
data_CdGeTe2
_chemical_formula_sum 'Cd4 Ge4 Te8'
_cell_length_a 7.457
_cell_length_b 7.457
_cell_length_c 7.457
_cell_angle_alpha 90.00
_cell_angle_beta 90.00
_cell_angle_gamma 90.00
_space_group_name_H-M_alt 'F -4 3 m'
_space_group_IT_number 216
_space_group_name_Hall 'F -4 2 3'
loop_
_atom_site_label
_atom_site_fract_x
_atom_site_fract_y
_atom_site_fract_z
Cd1 0.000 0.000 0.000
Ge1 0.250 0.250 0.750
Te1 0.000 0.000 0.500
Te2 0.250 0.250 0.250
```

No. 4
The following is a DFT calculation (GGA-PBE) of a relaxed structure of Sc3HgO.

For the total energy, the calculation gives -6.342 eV/atom.

Cell and atoms, written as CIF:
```
data_Sc3HgO
_chemical_formula_sum 'Sc3 Hg1 O1'
_cell_length_a 4.415
_cell_length_b 4.415
_cell_length_c 4.415
_cell_angle_alpha 90.00
_cell_angle_beta 90.00
_cell_angle_gamma 90.00
_space_group_name_H-M_alt 'P m -3 m'
_space_group_IT_number 221
_space_group_name_Hall '-P 4 2 3'
loop_
_atom_site_label
_atom_site_fract_x
_atom_site_fract_y
_atom_site_fract_z
Sc1 0.000 0.000 0.500
Hg1 0.500 0.500 0.500
O1 0.000 0.000 0.000
```

No. 5
The following is a DFT calculation (GGA-PBE) of a relaxed structure of PrNd2InCl3.

For the total energy, the calculation gives -4.626 eV/atom.

Cell and atoms, written as CIF:
```
data_PrNd2InCl3
_chemical_formula_sum 'Pr1 Nd2 In1 Cl3'
_cell_length_a 5.985
_cell_length_b 5.985
_cell_length_c 5.998
_cell_angle_alpha 90.00
_cell_angle_beta 90.00
_cell_angle_gamma 90.00
_space_group_name_H-M_alt 'P 4/m m m'
_space_group_IT_number 123
_space_group_name_Hall '-P 4 2'
loop_
_atom_site_label
_atom_site_fract_x
_atom_site_fract_y
_atom_site_fract_z
Pr1 0.000 0.000 0.000
Nd1 0.000 0.500 0.500
In1 0.000 0.000 0.500
Cl1 0.000 0.500 0.000
Cl2 0.500 0.500 0.500
```

No. 6
The following is a DFT calculation (GGA-PBE) of a relaxed structure of RbLuSc.

For the total energy, the calculation gives -2.438 eV/atom.

Cell and atoms, written as CIF:
```
data_RbLuSc
_chemical_formula_sum 'Rb4 Lu4 Sc4'
_cell_length_a 7.846
_cell_length_b 7.846
_cell_length_c 7.846
_cell_angle_alpha 90.00
_cell_angle_beta 90.00
_cell_angle_gamma 90.00
_space_group_name_H-M_alt 'F -4 3 m'
_space_group_IT_number 216
_space_group_name_Hall 'F -4 2 3'
loop_
_atom_site_label
_atom_site_fract_x
_atom_site_fract_y
_atom_site_fract_z
Rb1 0.000 0.000 0.000
Lu1 0.250 0.250 0.750
Sc1 0.250 0.250 0.250
```